## LaScZn (PBEsol)

Data for a relaxed LaScZn crystal. Values from VASP.

Values from the calculation:
**Formation energy from the elements**: 84 meV per atom
**Total DFT energy (no corrections)**: -4.43 eV per atom

Cell and atoms, written as Quantum ESPRESSO input:
```
&SYSTEM
  ibrav = 0, nat = 3, ntyp = 3
/
ATOMIC_SPECIES
Zn 65.41 Zn.upf
Sc 44.96 Sc.upf
La 138.91 La.upf
ATOMIC_POSITIONS angstrom
Zn -8.337 2.965 1.164
Sc -5.558 1.977 0.776
La 0.000 0.000 0.000
CELL_PARAMETERS angstrom
-2.818 3.954 0.159
-4.550 -0.190 -1.692
-3.748 0.189 3.085
```

## LaSb2 (PBEsol)

Data for a relaxed LaSb2 crystal. Values from VASP.

Values from the calculation:
**Total DFT energy (no corrections)**: -5.28 eV per atom
**Uncorrected formation energy**: -132 kJ/mol of formula units

Cell and atoms, written as Quantum ESPRESSO input:
```
&SYSTEM
  ibrav = 0, nat = 6, ntyp = 2
/
ATOMIC_SPECIES
Sb 121.76 Sb.upf
La 138.91 La.upf
ATOMIC_POSITIONS angstrom
Sb 4.679 0.900 0.637
Sb 3.119 1.801 3.183
Sb 1.560 0.900 0.637
Sb 3.119 3.602 0.637
La 6.238 3.602 2.547
La 9.357 5.402 3.820
CELL_PARAMETERS angstrom
6.238 0.000 0.000
3.119 5.402 0.000
3.119 1.801 5.093
```

## Rb2V2Si8O21 (PBEsol)

Data for a relaxed Rb2V2Si8O21 crystal. Values from VASP.

Values from the calculation:
**Total DFT energy (no corrections)**: -8.04 eV per atom
**Uncorrected formation energy**: -8479 kJ/mol of formula units

Cell and atoms, written as Quantum ESPRESSO input:
```
&SYSTEM
  ibrav = 0, nat = 66, ntyp = 4
/
ATOMIC_SPECIES
O 16.00 O.upf
Si 28.09 Si.upf
V 50.94 V.upf
Rb 85.47 Rb.upf
ATOMIC_POSITIONS angstrom
O 3.259 6.759 9.664
O 8.160 0.477 5.505
O 3.793 4.044 1.250
O 3.493 0.073 8.090
O 1.272 1.163 3.829
O 3.493 0.073 2.919
O 7.789 2.450 7.211
O 3.572 5.297 3.610
O 7.743 7.645 7.494
O 5.603 5.948 0.000
O 3.793 4.044 9.760
O 7.743 7.645 3.515
O 6.520 8.618 9.686
O 7.657 3.566 1.345
O 2.123 1.707 9.686
O 4.586 1.634 0.000
O 7.970 5.028 7.399
O 0.188 8.691 0.000
O 3.345 2.680 3.515
O 7.891 10.252 2.919
O 3.572 5.297 7.399
O 1.289 6.469 3.202
O 3.259 6.759 1.345
O 5.670 9.162 7.180
O 5.670 9.162 3.829
O 2.123 1.707 1.323
O 8.191 6.281 1.250
O 3.391 7.875 3.798
O 3.391 7.875 7.211
O 5.686 3.856 7.807
O 1.205 4.377 0.000
O 7.789 2.450 3.798
O 3.762 9.847 5.505
O 8.191 6.281 9.760
O 5.686 3.856 3.202
O 6.520 8.618 1.323
O 3.345 2.680 7.494
O 1.272 1.163 7.180
O 7.891 10.252 8.090
O 1.289 6.469 7.807
O 7.657 3.566 9.664
O 7.970 5.028 3.610
Si 4.068 9.333 7.015
Si 8.514 6.375 2.835
Si 4.116 3.949 2.835
Si 6.940 8.916 8.176
Si 8.466 0.992 3.995
Si 4.068 9.333 3.995
Si 7.277 3.701 8.125
Si 2.542 1.409 8.176
Si 2.879 6.624 8.125
Si 8.466 0.992 7.015
Si 2.542 1.409 2.833
Si 4.116 3.949 8.174
Si 7.277 3.701 2.884
Si 2.879 6.624 2.884
Si 8.514 6.375 8.174
Si 6.940 8.916 2.833
V 7.661 7.780 0.000
V 4.028 5.605 0.000
V 8.426 4.720 0.000
V 3.263 2.545 0.000
Rb 1.443 4.060 5.505
Rb 5.841 6.264 5.505
Rb 8.352 1.129 0.000
Rb 3.955 9.196 0.000
CELL_PARAMETERS angstrom
8.796 0.000 0.000
0.000 10.325 0.000
0.000 0.000 11.009
```

## TcPRh2 (PBEsol)

Data for a relaxed TcPRh2 crystal. Values from VASP.

Values from the calculation:
**Formation energy from the elements**: -245 meV per atom
**Total DFT energy (no corrections)**: -8.58 eV per atom

Cell and atoms, written as Quantum ESPRESSO input:
```
&SYSTEM
  ibrav = 0, nat = 4, ntyp = 3
/
ATOMIC_SPECIES
Rh 102.91 Rh.upf
Tc 98.00 Tc.upf
P 30.97 P.upf
ATOMIC_POSITIONS angstrom
Rh -1.020 -2.077 3.115
Rh 0.108 -0.735 1.037
Tc -1.527 -1.595 -0.926
P -0.613 -3.002 0.960
CELL_PARAMETERS angstrom
-2.740 0.003 0.380
-0.313 -3.193 -2.231
1.828 -2.816 3.772
```